Compound: Mg4Sn2Bi
Source: Alexandria via LeMat-Bulk
Functional: PBE
Structure: optimized geometry

## Properties
DOS at the Fermi energy (states/eV/f.u.): 2.8
Calculated formation energy (meV/atom): -100
E_tot (eV per atom): -2.7091

a b c (Å): 5.8489 6.3311 9.5832
angles (deg): 90.00 93.99 90.00
Atoms (fractional coordinates):
Mg 0.5637 0.5005 0.2736
Mg 0.9744 0.7500 0.8165
Mg 0.0256 0.2500 0.1835
Mg 0.5637 0.9995 0.2736
Mg 0.8078 0.2500 0.5335
Mg 0.4363 0.0005 0.7264
Mg 0.4363 0.4995 0.7264
Mg 0.1922 0.7500 0.4665
Sn 0.5075 0.7500 0.9966
Sn 0.4925 0.2500 0.0034
Sn 0.2837 0.2500 0.4705
Sn 0.7163 0.7500 0.5295
Bi 0.0392 0.7500 0.1504
Bi 0.9608 0.2500 0.8496

=====

Compound: Hg2Cl3O2
Source: Alexandria via LeMat-Bulk
Functional: PBE
Structure: optimized geometry

## Properties
E_tot (eV per atom): -2.6047

a b c (Å): 4.1755 7.1652 7.5075
angles (deg): 98.98 61.04 73.95
Site moments in Bohr magnetons follow the coordinates.
Atoms (fractional coordinates):
Hg 0.9622 0.2452 0.9047  -0.01
Hg 0.0378 0.7548 0.0953  -0.01
Cl 0.5000 0.0000 0.0000  0.00
Cl 0.5158 0.5411 0.2509  -0.01
Cl 0.4842 0.4589 0.7491  -0.01
O 0.6629 0.0085 0.4303  0.43
O 0.3371 0.9915 0.5697  0.43

=====

Compound: Be2TePRh
Source: Alexandria via LeMat-Bulk
Functional: PBE
Structure: optimized geometry

## Properties
DOS at the Fermi energy (states/eV/f.u.): 4.0
E_tot (eV per atom): -3.4155

a b c (Å): 4.4796 4.9620 4.4796
angles (deg): 90.00 90.00 90.00
Atoms (fractional coordinates):
P 0.5000 0.5000 0.5000
Te 0.0000 0.0000 0.0000
Rh 0.0000 0.5000 0.0000
Be 0.0000 0.0000 0.5000
Be 0.5000 0.0000 0.0000

=====

Compound: MgHg6
Source: Alexandria via LeMat-Bulk
Functional: PBE
Structure: optimized geometry

## Properties
DOS at the Fermi energy (states/eV/f.u.): 1.7
Calculated formation energy (meV/atom): -46
E_tot (eV per atom): -0.5322

a b c (Å): 6.2054 6.2054 9.3809
angles (deg): 90.00 90.00 96.52
Atoms (fractional coordinates):
Mg 0.4699 0.4699 0.7500
Mg 0.5301 0.5301 0.2500
Hg 0.3009 0.6991 0.0000
Hg 0.6991 0.3009 0.5000
Hg 0.6991 0.3009 0.0000
Hg 0.3009 0.6991 0.5000
Hg 0.1613 0.1613 0.9169
Hg 0.8387 0.8387 0.4169
Hg 0.1613 0.1613 0.5831
Hg 0.8387 0.8387 0.0831
Hg 0.6056 0.9557 0.7500
Hg 0.3944 0.0443 0.2500
Hg 0.9557 0.6056 0.7500
Hg 0.0443 0.3944 0.2500

=====

Compound: Tl2ZnPt
Source: Alexandria via LeMat-Bulk
Functional: PBE
Structure: optimized geometry

## Properties
DOS at the Fermi energy (states/eV/f.u.): 0.9
Calculated formation energy (meV/atom): 140
E_tot (eV per atom): -2.8722

a b c (Å): 3.6561 3.5570 7.3750
angles (deg): 64.94 90.00 90.00
Atoms (fractional coordinates):
Pt 0.5000 0.7500 0.7500
Tl 0.0000 0.0217 0.9870
Tl 0.0000 0.4783 0.5130
Zn 0.5000 0.2500 0.2500

=====

Compound: YVC2
Source: Alexandria via LeMat-Bulk
Functional: PBE
Structure: optimized geometry

## Properties
DOS at the Fermi energy (states/eV/f.u.): 1.0
Calculated formation energy (meV/atom): -157
E_tot (eV per atom): -8.6647

a b c (Å): 3.2075 3.2075 5.7196
angles (deg): 73.72 73.72 60.00
Atoms (fractional coordinates):
Y 0.5000 0.5000 0.5000
C 0.2655 0.2655 0.2036
C 0.7345 0.7345 0.7964
V 0.0000 0.0000 0.0000

=====

Compound: AcYTlSn
Source: Alexandria via LeMat-Bulk
Functional: PBE
Structure: optimized geometry

## Properties
DOS at the Fermi energy (states/eV/f.u.): 3.1
Calculated formation energy (meV/atom): -456
E_tot (eV per atom): -4.6913

a b c (Å): 5.6046 5.6046 5.6046
angles (deg): 60.00 60.00 60.00
Atoms (fractional coordinates):
Y 0.5000 0.5000 0.5000
Ac 0.0000 0.0000 0.0000
Tl 0.7500 0.7500 0.7500
Sn 0.2500 0.2500 0.2500

=====

Compound: KTl2RhBr6
Source: Alexandria via LeMat-Bulk
Functional: PBE
Structure: optimized geometry

## Properties
E_tot (eV per atom): -3.1508

a b c (Å): 7.3809 8.3754 10.9163
angles (deg): 90.00 87.27 90.00
Atoms (fractional coordinates):
K 0.5000 0.0000 0.0000
K 0.0000 0.5000 0.5000
Tl 0.0321 0.9300 0.2581
Tl 0.5321 0.5700 0.7581
Tl 0.9679 0.0700 0.7419
Tl 0.4679 0.4300 0.2419
Rh 0.5000 0.0000 0.5000
Rh 0.0000 0.5000 0.0000
Br 0.2862 0.6567 0.0294
Br 0.7862 0.8433 0.5294
Br 0.7138 0.3433 0.9706
Br 0.2138 0.1567 0.4706
Br 0.3476 0.7477 0.4283
Br 0.8476 0.7523 0.9283
Br 0.6524 0.2523 0.5717
Br 0.1524 0.2477 0.0717
Br 0.8896 0.5607 0.2168
Br 0.3896 0.9393 0.7168
Br 0.1104 0.4393 0.7832
Br 0.6104 0.0607 0.2832

=====

Compound: Rb3CaLa
Source: Alexandria via LeMat-Bulk
Functional: PBE
Structure: optimized geometry

## Properties
DOS at the Fermi energy (states/eV/f.u.): 3.3
Calculated formation energy (meV/atom): 871
E_tot (eV per atom): -1.0951

a b c (Å): 7.2157 7.2157 7.2157
angles (deg): 90.00 90.00 90.00
Site moments in Bohr magnetons follow the coordinates.
Atoms (fractional coordinates):
Ca 0.5000 0.5000 0.5000  -0.05
Rb 0.0000 0.5000 0.0000  -0.06
Rb 0.0000 0.0000 0.5000  -0.07
Rb 0.5000 0.0000 0.0000  -0.05
La 0.0000 0.0000 0.0000  -1.03

=====

Compound: TcTeOs3
Source: Alexandria via LeMat-Bulk
Functional: PBE
Structure: optimized geometry

## Properties
DOS at the Fermi energy (states/eV/f.u.): 8.5
E_tot (eV per atom): -7.3042

a b c (Å): 4.7063 4.7063 4.7063
angles (deg): 90.00 90.00 90.00
Atoms (fractional coordinates):
Te 0.5000 0.5000 0.5000
Os 0.0000 0.5000 0.0000
Os 0.0000 0.0000 0.5000
Os 0.5000 0.0000 0.0000
Tc 0.0000 0.0000 0.0000

=====

Compound: FeSbTe2S
Source: Alexandria via LeMat-Bulk
Functional: PBE
Structure: optimized geometry

## Properties
DOS at the Fermi energy (states/eV/f.u.): 8.4
E_tot (eV per atom): -4.0356

a b c (Å): 4.9418 4.9418 4.9671
angles (deg): 90.00 90.00 90.00
Atoms (fractional coordinates):
Sb 0.0000 0.0000 0.5000
S 0.5000 0.5000 0.5000
Te 0.0000 0.5000 0.0000
Te 0.5000 0.0000 0.0000
Fe 0.0000 0.0000 0.0000

=====

Compound: NaI2Br
Source: Alexandria via LeMat-Bulk
Functional: PBE
Structure: optimized geometry

## Properties
DOS at the Fermi energy (states/eV/f.u.): 8.3
E_tot (eV per atom): -1.8204

a b c (Å): 6.0211 6.0211 10.5594
angles (deg): 73.43 73.43 90.00
Atoms (fractional coordinates):
I 0.6366 0.1250 0.2500
I 0.1134 0.6250 0.2500
I 0.3750 0.3634 0.7500
I 0.8750 0.8866 0.7500
Na 0.5000 0.5000 0.0000
Na 0.2500 0.7500 0.5000
Br 0.0000 0.0000 0.0000
Br 0.7500 0.2500 0.5000

=====

Compound: Re2AgW
Source: Alexandria via LeMat-Bulk
Functional: PBE
Structure: optimized geometry

## Properties
DOS at the Fermi energy (states/eV/f.u.): 2.8
Calculated formation energy (meV/atom): 618
E_tot (eV per atom): -9.5574

a b c (Å): 4.4725 4.4725 4.4725
angles (deg): 60.00 60.00 60.00
Atoms (fractional coordinates):
Re 0.2500 0.2500 0.2500
Re 0.7500 0.7500 0.7500
Ag 0.0000 0.0000 0.0000
W 0.5000 0.5000 0.5000

=====

Compound: MnAlCd2
Source: Alexandria via LeMat-Bulk
Functional: PBE
Structure: optimized geometry

## Properties
DOS at the Fermi energy (states/eV/f.u.): 2.3
Calculated formation energy (meV/atom): 187
E_tot (eV per atom): -3.4982

a b c (Å): 5.2372 5.2372 5.2372
angles (deg): 134.43 134.43 66.41
Site moments in Bohr magnetons follow the coordinates.
Atoms (fractional coordinates):
Mn 0.2500 0.7500 0.5000  3.30
Al 0.7500 0.2500 0.5000  -0.06
Cd 0.0000 0.0000 0.0000  -0.06
Cd 0.5000 0.5000 0.0000  -0.06

=====

Compound: Ca3Zr2O7
Source: Alexandria via LeMat-Bulk
Functional: PBE
Structure: optimized geometry

## Properties
DOS at the Fermi energy (states/eV/f.u.): 0.0
E_tot (eV per atom): -7.9740

a b c (Å): 10.4343 10.4343 5.8190
angles (deg): 90.00 90.00 147.72
Atoms (fractional coordinates):
Ca 0.9381 0.5527 0.7500
Ca 0.4473 0.0619 0.2500
Ca 0.7194 0.7194 0.7500
Ca 0.2806 0.2806 0.2500
Ca 0.5527 0.9381 0.7500
Ca 0.0619 0.4473 0.2500
Zr 0.8565 0.6538 0.2500
Zr 0.3462 0.1435 0.7500
Zr 0.1435 0.3462 0.7500
Zr 0.6538 0.8565 0.2500
O 0.8716 0.1284 0.0000
O 0.8716 0.1284 0.5000
O 0.8450 0.4431 0.2500
O 0.5569 0.1550 0.7500
O 0.5758 0.4242 0.0000
O 0.5758 0.4242 0.5000
O 0.8740 0.8740 0.2500
O 0.1260 0.1260 0.7500
O 0.4242 0.5758 0.5000
O 0.4242 0.5758 0.0000
O 0.1550 0.5569 0.7500
O 0.4431 0.8450 0.2500
O 0.1284 0.8716 0.5000
O 0.1284 0.8716 0.0000

=====

Compound: AcPm3Sm5
Source: Alexandria via LeMat-Bulk
Functional: PBE
Structure: optimized geometry

## Properties
DOS at the Fermi energy (states/eV/f.u.): 13.9
Calculated formation energy (meV/atom): 510
E_tot (eV per atom): -4.1519

a b c (Å): 8.6358 8.6358 14.0882
angles (deg): 57.93 57.93 84.19
Atoms (fractional coordinates):
Ac 0.9995 0.9995 0.7491
Ac 0.0005 0.0005 0.2509
Pm 0.6688 0.6688 0.8292
Pm 0.6628 0.6628 0.3187
Pm 0.0000 0.0000 0.0000
Pm 0.0000 0.0000 0.5000
Pm 0.3312 0.3312 0.1708
Pm 0.3372 0.3372 0.6813
Sm 0.9505 0.4464 0.4101
Sm 0.2561 0.7439 0.0000
Sm 0.6517 0.6517 0.0875
Sm 0.3419 0.3419 0.4194
Sm 0.6581 0.6581 0.5806
Sm 0.3483 0.3483 0.9125
Sm 0.4464 0.9505 0.4101
Sm 0.7439 0.2561 0.0000
Sm 0.0495 0.5536 0.5899
Sm 0.5536 0.0495 0.5899

=====

Compound: Er6Sb5As
Source: Alexandria via LeMat-Bulk
Functional: PBE
Structure: optimized geometry

## Properties
DOS at the Fermi energy (states/eV/f.u.): 2.0
E_tot (eV per atom): -5.5380

a b c (Å): 7.4605 7.4728 7.4654
angles (deg): 59.97 80.39 70.51
Atoms (fractional coordinates):
Sb 0.5000 0.1710 0.6580
Sb 0.0000 0.3342 0.3316
Sb 0.5000 0.5000 0.0000
Sb 0.0000 0.6658 0.6684
Sb 0.5000 0.8290 0.3420
As 0.0000 0.0000 0.0000
Er 0.7578 0.0805 0.3217
Er 0.2422 0.5978 0.3217
Er 0.2469 0.2391 0.0000
Er 0.7531 0.7609 0.0000
Er 0.7578 0.4022 0.6783
Er 0.2422 0.9195 0.6783

=====

Compound: Tl3BI
Source: Alexandria via LeMat-Bulk
Functional: PBE
Structure: optimized geometry

## Properties
DOS at the Fermi energy (states/eV/f.u.): 4.9
E_tot (eV per atom): -1.8226

a b c (Å): 6.4757 6.4757 6.4757
angles (deg): 90.00 90.00 90.00
Site moments in Bohr magnetons follow the coordinates.
Atoms (fractional coordinates):
I 0.0000 0.0000 0.0000  0.01
Tl 0.0000 0.5000 0.0000  0.03
Tl 0.0000 0.0000 0.5000  0.04
Tl 0.5000 0.0000 0.0000  0.04
B 0.5000 0.5000 0.5000  0.40

=====

Compound: CaAgGeC2
Source: Alexandria via LeMat-Bulk
Functional: PBE
Structure: optimized geometry

## Properties
DOS at the Fermi energy (states/eV/f.u.): 4.1
Calculated formation energy (meV/atom): 2455
E_tot (eV per atom): -3.1284

a b c (Å): 4.4533 5.3499 4.4533
angles (deg): 90.00 90.00 90.00
Atoms (fractional coordinates):
C 0.0000 0.0000 0.5000
C 0.5000 0.0000 0.0000
Ge 0.5000 0.5000 0.5000
Ca 0.0000 0.0000 0.0000
Ag 0.0000 0.5000 0.0000

=====

Compound: BaCd3Br8
Source: Alexandria via LeMat-Bulk
Functional: PBE
Structure: optimized geometry

## Properties
DOS at the Fermi energy (states/eV/f.u.): 0.0
E_tot (eV per atom): -2.6419

a b c (Å): 8.5923 8.5900 8.3638
angles (deg): 121.54 90.00 120.01
Atoms (fractional coordinates):
Ba 0.0000 0.0000 0.0000
Cd 0.5000 0.0000 0.0000
Cd 0.5000 0.5000 0.0000
Cd 0.0000 0.5000 0.0000
Br 0.2549 0.5097 0.7680
Br 0.7451 0.4903 0.2320
Br 0.2904 0.0246 0.7630
Br 0.7342 0.0246 0.7630
Br 0.7342 0.4684 0.7635
Br 0.2658 0.5316 0.2365
Br 0.2658 0.9754 0.2370
Br 0.7096 0.9754 0.2370

=====

Compound: MgCr2Cu
Source: Alexandria via LeMat-Bulk
Functional: PBE
Structure: optimized geometry

## Properties
DOS at the Fermi energy (states/eV/f.u.): 2.3
Calculated formation energy (meV/atom): 325
E_tot (eV per atom): -5.9089

a b c (Å): 4.6255 4.6255 4.6255
angles (deg): 128.46 128.46 75.88
Site moments in Bohr magnetons follow the coordinates.
Atoms (fractional coordinates):
Cr 0.0000 0.0000 0.0000  -3.05
Cr 0.2500 0.7500 0.5000  3.06
Cu 0.5000 0.5000 0.0000  0.06
Mg 0.7500 0.2500 0.5000  -0.01

=====

Compound: La3DyHo2Er6
Source: Alexandria via LeMat-Bulk
Functional: PBE
Structure: optimized geometry

## Properties
DOS at the Fermi energy (states/eV/f.u.): 16.2
Calculated formation energy (meV/atom): 25
E_tot (eV per atom): -4.6347

a b c (Å): 6.1950 6.1950 11.7874
angles (deg): 95.02 95.02 119.99
Atoms (fractional coordinates):
La 0.1666 0.8334 0.5000
La 0.8334 0.1666 0.5000
La 0.5000 0.5000 0.5000
Dy 0.0000 0.0000 0.0000
Ho 0.3333 0.6667 0.0000
Ho 0.6667 0.3333 0.0000
Er 0.9189 0.5855 0.7559
Er 0.7477 0.7477 0.2440
Er 0.0811 0.4145 0.2441
Er 0.5855 0.9189 0.7559
Er 0.2523 0.2523 0.7560
Er 0.4145 0.0811 0.2441

=====

Compound: Sm3Ho6Tm2Tl
Source: Alexandria via LeMat-Bulk
Functional: PBE
Structure: optimized geometry

## Properties
DOS at the Fermi energy (states/eV/f.u.): 16.7
Calculated formation energy (meV/atom): -7
E_tot (eV per atom): -4.4179

a b c (Å): 6.1146 6.1146 11.5803
angles (deg): 95.08 95.08 120.02
Site moments in Bohr magnetons follow the coordinates.
Atoms (fractional coordinates):
Sm 0.1668 0.8332 0.5000  0.00
Sm 0.8332 0.1668 0.5000  0.00
Sm 0.5000 0.5000 0.5000  0.00
Ho 0.9198 0.5905 0.7562  0.02
Ho 0.7510 0.7510 0.2453  0.01
Ho 0.0802 0.4095 0.2438  0.02
Ho 0.5905 0.9198 0.7562  0.02
Ho 0.2490 0.2490 0.7547  0.01
Ho 0.4095 0.0802 0.2438  0.02
Tm 0.3341 0.6659 0.0000  0.07
Tm 0.6659 0.3341 0.0000  0.07
Tl 0.0000 0.0000 0.0000  0.00

=====

Compound: ThTiAu
Source: Alexandria via LeMat-Bulk
Functional: PBE
Structure: optimized geometry

## Properties
DOS at the Fermi energy (states/eV/f.u.): 3.8
Calculated formation energy (meV/atom): -224
E_tot (eV per atom): -6.4217

a b c (Å): 4.1399 4.5013 4.5013
angles (deg): 120.00 90.00 90.00
Atoms (fractional coordinates):
Au 0.1664 0.0000 0.0000
Th 0.6667 0.6667 0.3333
Ti 0.1668 0.3333 0.6667

=====

Quick rundown of total moment, same order as above: 0.00, 1.00, 0.00, 0.00, 0.00, 0.00, 0.00, 0.00, 4.25, 0.00, 0.00, 0.00, 0.00, 3.06, 0.00, 0.00, 0.00, 1.74, 0.17, 0.00, 0.02, 0.00, 0.30, 0.00 μB/f.u.